Tc2Sb2Pb: single point on PBEsol structure, SCAN.

## Properties
- DOS(E_F) (states/eV/cell) = 7.59
- E_form (uncorrected) (eV/atom) = 0.34
- spin magnetization (μB/atom) = 0.0001

Cell and atoms, written as CIF:
```
data_Tc2Sb2Pb
_chemical_formula_sum 'Tc4 Sb4 Pb2'
_space_group_name_H-M_alt 'I 4/m m m'
_space_group_IT_number 139
_space_group_name_Hall '-I 4 2'
_cell_length_a 4.641
_cell_length_b 4.641
_cell_length_c 10.231
_cell_angle_alpha 90.00
_cell_angle_beta 90.00
_cell_angle_gamma 90.00
loop_
_atom_site_label
_atom_site_type_symbol
_atom_site_fract_x
_atom_site_fract_y
_atom_site_fract_z
Tc1 Tc 0.000 0.500 0.250
Sb1 Sb 0.000 0.000 0.138
Pb1 Pb 0.000 0.000 0.500
```

---

SbTePb2: single point on PBEsol structure, SCAN.

## Properties
- DOS(E_F) (states/eV/cell) = 1.97
- E_form (uncorrected) (eV/atom) = 0.09
- spin magnetization (μB/atom) = 0.0000

Cell and atoms, written as CIF:
```
data_SbTePb2
_chemical_formula_sum 'Sb1 Te1 Pb2'
_space_group_name_H-M_alt 'P m m m'
_space_group_IT_number 47
_space_group_name_Hall '-P 2 2'
_cell_length_a 3.798
_cell_length_b 5.418
_cell_length_c 5.509
_cell_angle_alpha 90.00
_cell_angle_beta 90.00
_cell_angle_gamma 90.00
loop_
_atom_site_label
_atom_site_type_symbol
_atom_site_fract_x
_atom_site_fract_y
_atom_site_fract_z
Sb1 Sb 0.000 0.000 0.000
Te1 Te 0.500 0.500 0.000
Pb1 Pb 0.000 0.500 0.500
Pb2 Pb 0.500 0.000 0.500
```

---

SbTePb2: single point on PBEsol structure, SCAN.

## Properties
- DOS(E_F) (states/eV/cell) = 2.49
- E_form (uncorrected) (eV/atom) = -0.13
- spin magnetization (μB/atom) = 0.0002

Cell and atoms, written as CIF:
```
data_SbTePb2
_chemical_formula_sum 'Sb1 Te1 Pb2'
_space_group_name_H-M_alt 'P 4 m m'
_space_group_IT_number 99
_space_group_name_Hall 'P 4 -2'
_cell_length_a 4.463
_cell_length_b 4.463
_cell_length_c 6.378
_cell_angle_alpha 90.00
_cell_angle_beta 90.00
_cell_angle_gamma 90.00
loop_
_atom_site_label
_atom_site_type_symbol
_atom_site_fract_x
_atom_site_fract_y
_atom_site_fract_z
Sb1 Sb 0.000 0.000 0.000
Te1 Te 0.500 0.500 0.498
Pb1 Pb 0.000 0.000 0.501
Pb2 Pb 0.500 0.500 0.998
```

---

SbTePb: single point on PBEsol structure, SCAN.

## Properties
- DOS(E_F) (states/eV/cell) = 8.37
- E_form (uncorrected) (eV/atom) = 0.29
- spin magnetization (μB/atom) = 0.0000

Cell and atoms, written as CIF:
```
data_SbTePb
_chemical_formula_sum 'Sb4 Te4 Pb4'
_space_group_name_H-M_alt 'F -4 3 m'
_space_group_IT_number 216
_space_group_name_Hall 'F -4 2 3'
_cell_length_a 7.387
_cell_length_b 7.387
_cell_length_c 7.387
_cell_angle_alpha 90.00
_cell_angle_beta 90.00
_cell_angle_gamma 90.00
loop_
_atom_site_label
_atom_site_type_symbol
_atom_site_fract_x
_atom_site_fract_y
_atom_site_fract_z
Sb1 Sb 0.000 0.000 0.000
Te1 Te 0.250 0.250 0.250
Pb1 Pb 0.000 0.000 0.500
```

---

TiSbTe2Pb: single point on PBEsol structure, SCAN.

## Properties
- DOS(E_F) (states/eV/cell) = 4.46
- E_form (uncorrected) (eV/atom) = 0.90
- spin magnetization (μB/atom) = 0.2400

Cell and atoms, written as CIF:
```
data_TiSbTe2Pb
_chemical_formula_sum 'Ti1 Sb1 Te2 Pb1'
_space_group_name_H-M_alt 'P 4/m m m'
_space_group_IT_number 123
_space_group_name_Hall '-P 4 2'
_cell_length_a 5.698
_cell_length_b 5.698
_cell_length_c 5.559
_cell_angle_alpha 90.00
_cell_angle_beta 90.00
_cell_angle_gamma 90.00
loop_
_atom_site_label
_atom_site_type_symbol
_atom_site_fract_x
_atom_site_fract_y
_atom_site_fract_z
Ti1 Ti 0.000 0.000 0.000
Sb1 Sb 0.500 0.500 0.000
Te1 Te 0.000 0.500 0.500
Pb1 Pb 0.500 0.500 0.500
```

---

ZnSbTe2Pb: single point on PBEsol structure, SCAN.

## Properties
- DOS(E_F) (states/eV/cell) = 3.30
- E_form (uncorrected) (eV/atom) = 0.28
- spin magnetization (μB/atom) = 0.0000

Cell and atoms, written as CIF:
```
data_ZnSbTe2Pb
_chemical_formula_sum 'Zn1 Sb1 Te2 Pb1'
_space_group_name_H-M_alt 'P 4/m m m'
_space_group_IT_number 123
_space_group_name_Hall '-P 4 2'
_cell_length_a 5.313
_cell_length_b 5.313
_cell_length_c 5.092
_cell_angle_alpha 90.00
_cell_angle_beta 90.00
_cell_angle_gamma 90.00
loop_
_atom_site_label
_atom_site_type_symbol
_atom_site_fract_x
_atom_site_fract_y
_atom_site_fract_z
Zn1 Zn 0.000 0.000 0.000
Sb1 Sb 0.000 0.000 0.500
Te1 Te 0.000 0.500 0.000
Pb1 Pb 0.500 0.500 0.500
```

---

TiSb3Pb: single point on PBEsol structure, SCAN.

## Properties
- DOS(E_F) (states/eV/cell) = 4.81
- E_form (uncorrected) (eV/atom) = 1.17
- spin magnetization (μB/atom) = 0.2943

Cell and atoms, written as CIF:
```
data_TiSb3Pb
_chemical_formula_sum 'Ti1 Sb3 Pb1'
_space_group_name_H-M_alt 'P m -3 m'
_space_group_IT_number 221
_space_group_name_Hall '-P 4 2 3'
_cell_length_a 5.580
_cell_length_b 5.580
_cell_length_c 5.580
_cell_angle_alpha 90.00
_cell_angle_beta 90.00
_cell_angle_gamma 90.00
loop_
_atom_site_label
_atom_site_type_symbol
_atom_site_fract_x
_atom_site_fract_y
_atom_site_fract_z
Ti1 Ti 0.000 0.000 0.000
Sb1 Sb 0.000 0.500 0.500
Pb1 Pb 0.500 0.500 0.500
```

---

TiZnSbPb2: single point on PBEsol structure, SCAN.

## Properties
- DOS(E_F) (states/eV/cell) = 1.79
- E_form (uncorrected) (eV/atom) = 0.26
- spin magnetization (μB/atom) = 0.0000

Cell and atoms, written as CIF:
```
data_TiZnSbPb2
_chemical_formula_sum 'Ti1 Zn1 Sb1 Pb2'
_space_group_name_H-M_alt 'P 4/m m m'
_space_group_IT_number 123
_space_group_name_Hall '-P 4 2'
_cell_length_a 5.347
_cell_length_b 5.347
_cell_length_c 5.150
_cell_angle_alpha 90.00
_cell_angle_beta 90.00
_cell_angle_gamma 90.00
loop_
_atom_site_label
_atom_site_type_symbol
_atom_site_fract_x
_atom_site_fract_y
_atom_site_fract_z
Ti1 Ti 0.000 0.000 0.000
Zn1 Zn 0.500 0.500 0.500
Sb1 Sb 0.000 0.000 0.500
Pb1 Pb 0.000 0.500 0.000
```